No. 1
The following is a GGA-PBE calculation of an optimized crystal structure of ZrZn4Ni, from the Alexandria database.

a = 11.996 Å, b = 5.191 Å, c = 6.278 Å
α = 90.00°, β = 107.76°, γ = 90.00°
Space group C2/m (No. 12)
Symmetry-distinct sites (fractional):
Zr  0.186  0.000  0.347
Zn  0.000  0.252  0.000
Zn  0.090  0.249  0.681
Zn  0.221  0.500  0.077
Ni  0.107  0.500  0.350

Summary:
M_tot = 0.00 μB/cell
energy of formation = -0.213 eV/atom
excess energy over the best structure of this formula in the dataset = 0.035 eV per atom



No. 2
The following is a GGA-PBE calculation of an optimized crystal structure of Te2HBr, from the Alexandria database.

a = 3.4629 Å, b = 3.4629 Å, c = 27.2390 Å
α = 90.00°, β = 90.00°, γ = 120.00°
Space group R-3m (No. 166, hexagonal axes)
Symmetry-distinct sites (fractional):
Te  0.0000  0.0000  0.0722
H  0.0000  0.0000  0.0000
Br  0.0000  0.0000  0.5000

Summary:
M_tot = 0.00 μB/cell
excess energy over the best structure of this formula in the dataset = 0.259 eV per atom



No. 3
The following is a GGA-PBE calculation of an optimized crystal structure of La4PrIn4, from the Alexandria database.

a = 9.318 Å, b = 9.318 Å, c = 6.495 Å
α = 90.00°, β = 90.00°, γ = 90.00°
Space group P4_2/n (No. 86, origin choice 2)
Symmetry-distinct sites (fractional):
La  0.074  0.821  0.121
Pr  0.250  0.250  0.750
In  0.051  0.153  0.362

Summary:
M_tot = 0.00 μB/cell
energy of formation = -0.318 eV/atom